Material: NaCa2CrCd
Method: DFT, PBE-GGA
State: relaxed

a b c (Å): 5.884 5.884 5.073
angles (deg): 90.00 90.00 90.00
Space group P4/mmm (No. 123)
One atom of each set of equivalent atoms:
Na  0.000  0.000  0.000
Ca  0.000  0.500  0.000
Cr  0.000  0.000  0.500
Cd  0.500  0.500  0.500

## Properties
Calculated total energy (eV per atom): -2.37
N(E_F) (states/eV per atom): 0.812
Crystal system: tetragonal
Calculated formation energy (eV per atom): 0.8036